Record 1
{
  "formula": "Ho3Tl5S12",
  "functional": "PBE",
  "state": "optimized geometry",
  "spacegroup": "Ia-3d (230)",
  "energy_ev_per_cell": -358.44,
  "e_form_raw_kj_per_mol_fu": -1401,
  "cell": [[-11.2768, 6.8149, 4.0915], [-2.3014, -5.7042, -12.3497], [2.9712, -9.8881, 9.1513]],
  "species": ["S", "S", "S", "S", "S", "S", "S", "S", "S", "S", "S", "S", "S", "S", "S", "S", "S", "S", "S", "S", "S", "S", "S", "S", "S", "S", "S", "S", "S", "S", "S", "S", "S", "S", "S", "S", "S", "S", "S", "S", "S", "S", "S", "S", "S", "S", "S", "S", "Ho", "Ho", "Ho", "Ho", "Ho", "Ho", "Ho", "Ho", "Ho", "Ho", "Ho", "Ho", "Tl", "Tl", "Tl", "Tl", "Tl", "Tl", "Tl", "Tl", "Tl", "Tl", "Tl", "Tl", "Tl", "Tl", "Tl", "Tl", "Tl", "Tl", "Tl", "Tl"],
  "frac_coords": [[0.6720, 0.2224, 0.5860], [0.7776, 0.4496, 0.3637], [0.5504, 0.3280, 0.9140], [0.8637, 0.5860, 0.9140], [0.2224, 0.5504, 0.6363], [0.0860, 0.1720, 0.4496], [0.1363, 0.4140, 0.0860], [0.1720, 0.0860, 0.7224], [0.8280, 0.9140, 0.2776], [0.5860, 0.7224, 0.6720], [0.3280, 0.7776, 0.4140], [0.6363, 0.0504, 0.2224], [0.9140, 0.8280, 0.7776], [0.3637, 0.4140, 0.0860], [0.2224, 0.6720, 0.0860], [0.0860, 0.1720, 0.2224], [0.5860, 0.6363, 0.4140], [0.5504, 0.2224, 0.1363], [0.5860, 0.8637, 0.4140], [0.4140, 0.3637, 0.5860], [0.0504, 0.6363, 0.7224], [0.5860, 0.9496, 0.6720], [0.2776, 0.8637, 0.9496], [0.4496, 0.6720, 0.0860], [0.6363, 0.5860, 0.9140], [0.8280, 0.9140, 0.0504], [0.3280, 0.5504, 0.4140], [0.1720, 0.0860, 0.9496], [0.3637, 0.9496, 0.7776], [0.1363, 0.7224, 0.5504], [0.0504, 0.4140, 0.8280], [0.7224, 0.1363, 0.0504], [0.9140, 0.0860, 0.6363], [0.6720, 0.4496, 0.5860], [0.0860, 0.9140, 0.3637], [0.7776, 0.3280, 0.9140], [0.0860, 0.9140, 0.1363], [0.7224, 0.5860, 0.1720], [0.2776, 0.4140, 0.8280], [0.4140, 0.0504, 0.3280], [0.8637, 0.2776, 0.4496], [0.9140, 0.8280, 0.5504], [0.4140, 0.1363, 0.5860], [0.9140, 0.0860, 0.8637], [0.9496, 0.3637, 0.2776], [0.4496, 0.7776, 0.8637], [0.4140, 0.2776, 0.3280], [0.9496, 0.5860, 0.1720], [0.8750, 0.1250, 0.2500], [0.1250, 0.2500, 0.8750], [0.3750, 0.7500, 0.6250], [0.6250, 0.3750, 0.7500], [0.2500, 0.6250, 0.8750], [0.3750, 0.6250, 0.2500], [0.7500, 0.3750, 0.1250], [0.6250, 0.2500, 0.3750], [0.2500, 0.1250, 0.3750], [0.8750, 0.7500, 0.1250], [0.1250, 0.8750, 0.7500], [0.7500, 0.8750, 0.6250], [0.0000, 0.0000, 0.5000], [0.2500, 0.8750, 0.1250], [0.6250, 0.7500, 0.8750], [0.7500, 0.6250, 0.3750], [0.8750, 0.6250, 0.7500], [0.3750, 0.2500, 0.1250], [0.7500, 0.1250, 0.8750], [0.5000, 0.5000, 0.5000], [0.0000, 0.0000, 0.0000], [0.6250, 0.8750, 0.2500], [0.0000, 0.5000, 0.0000], [0.5000, 0.0000, 0.5000], [0.3750, 0.1250, 0.7500], [0.1250, 0.3750, 0.2500], [0.0000, 0.5000, 0.5000], [0.5000, 0.0000, 0.0000], [0.5000, 0.5000, 0.0000], [0.2500, 0.3750, 0.6250], [0.8750, 0.2500, 0.6250], [0.1250, 0.7500, 0.3750]]
}

***

Record 2
{
  "formula": "MgZrSc2",
  "functional": "PBE",
  "state": "optimized geometry",
  "formation_energy_mev_per_atom": 90,
  "spacegroup": "Pmmm (47)",
  "energy_ev_per_cell": -22.44,
  "cell": [[-0.7104, -0.3466, 3.2907], [1.0973, -5.2372, -0.3148], [4.8921, 0.9555, 1.1567]],
  "species": ["Zr", "Sc", "Sc", "Mg"],
  "frac_coords": [[0.5000, 0.0000, 0.5000], [0.0000, 0.0000, 0.0000], [0.5000, 0.5000, 0.0000], [0.0000, 0.5000, 0.5000]]
}

***

Record 3
{
  "formula": "Cu2AgMo",
  "functional": "PBE",
  "state": "optimized geometry",
  "formation_energy_mev_per_atom": 411,
  "spacegroup": "Imm2 (44)",
  "energy_ev_per_cell": -20.23,
  "cell": [[-0.6618, 0.1048, 5.4016], [2.3425, -3.7322, 3.1953], [0.2504, 4.1329, -3.5331]],
  "species": ["Ag", "Cu", "Cu", "Mo"],
  "frac_coords": [[0.2377, 0.7377, 0.5000], [0.9828, 0.9828, 0.0000], [0.7621, 0.2621, 0.5000], [0.5173, 0.5173, 0.0000]]
}

***

Record 4
{
  "formula": "SbTe2Ru",
  "functional": "PBE",
  "state": "optimized geometry",
  "spacegroup": "R-3m (166)",
  "energy_ev_per_cell": -19.31,
  "e_form_raw_kj_per_mol_fu": 35,
  "cell": [[2.2032, 0.0000, 9.1313], [-1.1016, 1.9080, 9.1313], [-1.1016, -1.9080, 9.1313]],
  "species": ["Ru", "Sb", "Te", "Te"],
  "frac_coords": [[0.5000, 0.5000, 0.5000], [0.0000, 0.0000, 0.0000], [0.1135, 0.1135, 0.1135], [0.8865, 0.8865, 0.8865]]
}